DFT (GGA-PBE) results for an optimized crystal structure of Mn2ZnW.

Properties
ΔH_f (0 K) = 1.1 eV per formula unit
N(E_F) = 7.58 states/eV/cell

a = 2.7065 Å, b = 2.7065 Å, c = 26.5159 Å
α = 90.00°, β = 90.00°, γ = 120.00°
Space group R-3m (No. 166, hexagonal axes)
Asymmetric unit:
Mn (0.0000, 0.0000, 0.2484) (multiplicity 6)
Zn (0.0000, 0.0000, 0.5000) (multiplicity 3)
W (0.0000, 0.0000, 0.0000) (multiplicity 3)

DFT (GGA-PBE) results for an optimized crystal structure of Mn2ZnW.

Properties
ΔH_f (0 K) = 0.5 eV per formula unit
N(E_F) = 2.20 states/eV/cell

a = 4.0671 Å, b = 4.0671 Å, c = 3.1387 Å
α = 90.00°, β = 90.00°, γ = 90.00°
Space group P4/mmm (No. 123)
Asymmetric unit:
Mn (0.0000, 0.5000, 0.0000) (multiplicity 2)
Zn (0.0000, 0.0000, 0.5000) (multiplicity 1)
W (0.5000, 0.5000, 0.5000) (multiplicity 1)

DFT (GGA-PBE) results for an optimized crystal structure of Mn3ZnW.

Properties
ΔH_f (0 K) = 7.0 eV per formula unit
polymorph energy (0 for the lowest one) = 0 meV/atom
N(E_F) = 10.00 states/eV/cell

a = 4.6032 Å, b = 4.6032 Å, c = 4.6032 Å
α = 90.00°, β = 90.00°, γ = 90.00°
Space group Pm-3m (No. 221)
Asymmetric unit:
Mn (0.0000, 0.0000, 0.5000) (multiplicity 3)
Zn (0.5000, 0.5000, 0.5000) (multiplicity 1)
W (0.0000, 0.0000, 0.0000) (multiplicity 1)